Arrangement P

Compound: PmNd4Sm7
Source: the Alexandria database
Functional: PBE
Structure: relaxed

Structure (POSCAR):
```
PmNd4Sm7
1.0
6.531 -1.907 2.782
0.746 5.891 2.289
2.865 -2.379 11.084
Sm Nd Pm
7 4 1
direct
0.500 0.000 0.000
0.917 0.722 0.332
0.083 0.278 0.668
0.668 0.222 0.332
0.751 0.500 0.000
0.249 0.500 0.000
0.332 0.778 0.668
0.168 0.223 0.332
0.419 0.722 0.332
0.581 0.278 0.668
0.832 0.777 0.668
0.000 0.000 0.000
```

## Properties
- Density of states at the Fermi level: 15.2 states/eV/f.u.
- Space group: No. 2

Arrangement Q

Compound: PmNd4Sm7
Source: the Alexandria database
Functional: PBE
Structure: relaxed

Structure (POSCAR):
```
PmNd4Sm7
1.0
-0.252 -2.543 -5.501
7.811 -8.907 0.416
-4.532 -5.026 -0.813
Sm Nd Pm
7 4 1
direct
0.789 0.922 0.499
0.066 0.680 0.188
0.934 0.320 0.812
0.370 0.498 0.762
0.630 0.502 0.238
0.500 0.000 0.000
0.211 0.078 0.501
0.766 0.673 0.794
0.638 0.223 0.501
0.362 0.777 0.499
0.234 0.327 0.206
0.000 0.000 0.000
```

## Properties
- Density of states at the Fermi level: 19.1 states/eV/f.u.
- Space group: No. 12

Least stable = arrangement Q